Entry 1:
A plane-wave DFT calculation with PBE was carried out for an optimized crystal structure of FeHgPCl2.

abc: 4.793 4.793 4.375
angles: 90.00 90.00 90.00
Atoms (fractional coordinates):
P 0.000 0.000 0.500
Cl 0.000 0.500 0.000
Cl 0.500 0.000 0.000
Fe 0.000 0.000 0.000
Hg 0.500 0.500 0.500

Results
Relative energy among the computed polymorphs   0 meV per atom
Formation energy without anion corrections   0.134 eV/atom

=====

Entry 2:
A plane-wave DFT calculation with PBE was carried out for an optimized crystal structure of Pm3Pr5Bi8.

abc: 9.237 9.237 9.236
angles: 60.00 60.00 60.00
Atoms (fractional coordinates):
Bi 0.750 0.247 0.253
Bi 0.753 0.250 0.747
Bi 0.247 0.750 0.253
Bi 0.750 0.750 0.253
Bi 0.250 0.250 0.747
Bi 0.249 0.249 0.254
Bi 0.250 0.753 0.747
Bi 0.751 0.751 0.746
Pr 0.500 0.000 0.000
Pr 0.500 0.500 0.000
Pr 0.500 0.500 0.500
Pr 0.000 0.500 0.000
Pr 0.000 0.000 0.000
Pm 0.000 0.000 0.500
Pm 0.000 0.500 0.500
Pm 0.500 0.000 0.500

Results
Energy relative to the elements   -0.952 eV per atom

=====

Entry 3:
A plane-wave DFT calculation with PBE was carried out for an optimized crystal structure of CaBiPtO6.

abc: 5.585 5.585 8.936
angles: 90.00 90.00 120.00
Atoms (fractional coordinates):
O 0.370 0.330 0.376
O 0.330 0.370 0.876
O 0.959 0.630 0.376
O 0.630 0.959 0.876
O 0.041 0.370 0.624
O 0.041 0.670 0.876
O 0.370 0.041 0.124
O 0.959 0.330 0.124
O 0.670 0.630 0.124
O 0.670 0.041 0.376
O 0.330 0.959 0.624
O 0.630 0.670 0.624
Pt 0.333 0.667 0.750
Pt 0.667 0.333 0.250
Bi 0.000 0.000 0.000
Bi 0.000 0.000 0.500
Ca 0.667 0.333 0.750
Ca 0.333 0.667 0.250

Results
Formation energy without anion corrections   -1.073 eV/atom

=====

Entry 4:
A plane-wave DFT calculation with PBE was carried out for an optimized crystal structure of BeI3.

abc: 7.713 7.713 7.353
angles: 58.37 58.37 90.00
Site moments in Bohr magnetons follow the coordinates.
Atoms (fractional coordinates):
Be 0.500 0.500 0.000  0.00
Be 0.250 0.750 0.500  0.00
I 0.000 0.000 0.000  0.46
I 0.875 0.741 0.750  0.10
I 0.375 0.509 0.750  0.09
I 0.491 0.125 0.250  0.09
I 0.750 0.250 0.500  0.47
I 0.259 0.625 0.250  0.10

Results
Relative energy among the computed polymorphs   0 meV per atom
Formation energy without anion corrections   -0.033 eV/atom

=====

Entry 5:
A plane-wave DFT calculation with PBE was carried out for an optimized crystal structure of Mn5Au4.

abc: 6.339 6.339 6.339
angles: 95.89 95.89 142.64
Site moments in Bohr magnetons follow the coordinates.
Atoms (fractional coordinates):
Mn 0.333 0.333 0.667  3.74
Mn 0.333 0.667 0.000  3.74
Mn 0.000 0.000 0.000  3.67
Mn 0.667 0.333 0.000  3.74
Mn 0.667 0.667 0.333  3.74
Au 0.000 0.319 0.319  0.08
Au 0.681 0.000 0.681  0.08
Au 0.000 0.681 0.681  0.08
Au 0.319 0.000 0.319  0.08

Results
Relative energy among the computed polymorphs   0 meV per atom
Energy relative to the elements   0.092 eV per atom

=====

Entry 6:
A plane-wave DFT calculation with PBE was carried out for an optimized crystal structure of BaAg2Au2.

abc: 5.801 5.801 9.557
angles: 98.77 98.77 119.86
Atoms (fractional coordinates):
Au 0.457 0.043 0.250
Au 0.207 0.293 0.750
Au 0.543 0.957 0.750
Au 0.793 0.707 0.250
Ag 0.499 0.749 0.999
Ag 0.501 0.251 0.001
Ag 0.751 0.001 0.501
Ag 0.249 0.999 0.499
Ba 0.125 0.375 0.250
Ba 0.875 0.625 0.750

Results
Relative energy among the computed polymorphs   39 meV per atom
Energy relative to the elements   -0.328 eV per atom

=====

Entry 7:
A plane-wave DFT calculation with PBE was carried out for an optimized crystal structure of Cd2HgBr.

abc: 3.815 6.029 4.810
angles: 90.00 90.00 90.00
Atoms (fractional coordinates):
Br 0.000 0.500 0.500
Cd 0.000 0.000 0.000
Cd 0.500 0.500 0.000
Hg 0.500 0.000 0.500

Results
Relative energy among the computed polymorphs   112 meV per atom
Formation energy without anion corrections   -0.094 eV/atom

=====

Entry 8:
A plane-wave DFT calculation with PBE was carried out for an optimized crystal structure of Pm2PuZn2Rh5.

abc: 3.733 9.890 9.890
angles: 90.00 90.00 90.00
Site moments in Bohr magnetons follow the coordinates.
Atoms (fractional coordinates):
Pm 0.000 0.172 0.328  0.03
Pm 0.000 0.328 0.828  0.03
Pm 0.000 0.828 0.672  0.03
Pm 0.000 0.672 0.172  0.03
Zn 0.000 0.377 0.123  0.01
Zn 0.000 0.877 0.377  0.01
Zn 0.000 0.623 0.877  0.01
Zn 0.000 0.123 0.623  0.01
Rh 0.500 0.932 0.206  -0.14
Rh 0.500 0.568 0.706  -0.14
Rh 0.500 0.500 0.000  -0.02
Rh 0.500 0.206 0.068  -0.14
Rh 0.500 0.068 0.794  -0.14
Rh 0.500 0.432 0.294  -0.14
Rh 0.500 0.294 0.568  -0.14
Rh 0.500 0.794 0.932  -0.14
Rh 0.500 0.000 0.500  -0.02
Rh 0.500 0.706 0.432  -0.14
Pu 0.000 0.000 0.000  4.67
Pu 0.000 0.500 0.500  4.67

Results
Energy relative to the elements   -0.580 eV per atom

=====

Entry 9:
A plane-wave DFT calculation with PBE was carried out for an optimized crystal structure of MnSiTe2.

abc: 6.891 5.475 3.739
angles: 71.59 87.67 127.98
Site moments in Bohr magnetons follow the coordinates.
Atoms (fractional coordinates):
Si 0.500 0.500 0.000  0.00
Te 0.000 0.000 0.000  0.01
Te 0.500 0.000 0.500  0.01
Mn 0.000 0.500 0.500  4.05

Results
Formation energy without anion corrections   0.400 eV/atom

=====

Entry 10:
A plane-wave DFT calculation with PBE was carried out for an optimized crystal structure of Pm6SmY2Tm.

abc: 9.555 8.946 8.946
angles: 117.04 93.18 93.18
Atoms (fractional coordinates):
Pm 0.884 0.292 0.517
Pm 0.057 0.118 0.762
Pm 0.557 0.762 0.118
Pm 0.116 0.708 0.483
Pm 0.313 0.993 0.438
Pm 0.187 0.562 0.007
Pm 0.443 0.238 0.882
Pm 0.687 0.007 0.562
Pm 0.616 0.483 0.708
Pm 0.943 0.882 0.238
Pm 0.813 0.438 0.993
Pm 0.384 0.517 0.292
Sm 0.250 0.969 0.031
Sm 0.750 0.031 0.969
Y 0.549 0.204 0.301
Y 0.451 0.796 0.699
Y 0.049 0.301 0.204
Y 0.951 0.699 0.796
Tm 0.750 0.588 0.412
Tm 0.250 0.412 0.588

Results
Energy relative to the elements   0.119 eV per atom

=====

Entry 11:
A plane-wave DFT calculation with PBE was carried out for an optimized crystal structure of LiGe3P.

abc: 4.563 4.563 4.563
angles: 90.00 90.00 90.00
Atoms (fractional coordinates):
Li 0.000 0.000 0.000
P 0.500 0.500 0.500
Ge 0.000 0.000 0.500
Ge 0.500 0.000 0.000
Ge 0.000 0.500 0.000

Results
Relative energy among the computed polymorphs   163 meV per atom
Energy relative to the elements   0.644 eV per atom

=====

Entry 12:
A plane-wave DFT calculation with PBE was carried out for an optimized crystal structure of SrNb3Br.

abc: 5.059 5.059 5.059
angles: 90.00 90.00 90.00
Atoms (fractional coordinates):
Nb 0.500 0.000 0.000
Nb 0.000 0.500 0.000
Nb 0.000 0.000 0.500
Br 0.500 0.500 0.500
Sr 0.000 0.000 0.000

Results
Relative energy among the computed polymorphs   1653 meV per atom
Formation energy without anion corrections   2.676 eV/atom